<w>
{"formula": "Re2Sn2O5", "functional": "PBE-GGA", "state": "optimized geometry", "lattice_angstrom": [[4.208, 0.000, 0.000], [0.000, 4.208, 0.000], [0.000, 0.000, 6.648]], "species": ["Re", "Re", "Sn", "Sn", "O", "O", "O", "O", "O"], "fractional_positions": [[0.000, 0.000, 0.000], [0.000, 0.000, 0.500], [0.500, 0.500, 0.204], [0.500, 0.500, 0.796], [0.000, 0.500, 0.189], [0.000, 0.500, 0.811], [0.500, 0.000, 0.189], [0.500, 0.000, 0.811], [0.500, 0.500, 0.500]], "rho_g_cm3": 9.73, "space_group": "No. 123"}

<x>
{"formula": "Re2Sn2O5", "functional": "PBE-GGA", "state": "optimized geometry", "lattice_angstrom": [[3.915, 0.000, 0.000], [0.000, 3.915, 0.000], [0.000, 0.000, 7.624]], "species": ["Re", "Re", "Sn", "Sn", "O", "O", "O", "O", "O"], "fractional_positions": [[0.000, 0.000, 0.216], [0.000, 0.000, 0.784], [0.500, 0.500, 0.000], [0.500, 0.500, 0.500], [0.000, 0.000, 0.500], [0.000, 0.500, 0.235], [0.000, 0.500, 0.765], [0.500, 0.000, 0.235], [0.500, 0.000, 0.765]], "rho_g_cm3": 9.80, "space_group": "No. 123"}

Least stable structure: <w>

<w>
{"formula": "SrRe2O8", "functional": "PBE-GGA", "state": "optimized geometry", "lattice_angstrom": [[6.380, 0.000, 0.000], [-3.190, 5.525, 0.000], [0.000, 0.000, 5.531]], "species": ["Sr", "Re", "Re", "O", "O", "O", "O", "O", "O", "O", "O"], "fractional_positions": [[0.000, 0.000, 0.000], [0.333, 0.667, 0.654], [0.667, 0.333, 0.346], [0.158, 0.368, 0.757], [0.210, 0.842, 0.757], [0.333, 0.667, 0.340], [0.368, 0.210, 0.243], [0.632, 0.790, 0.757], [0.667, 0.333, 0.660], [0.790, 0.158, 0.243], [0.842, 0.632, 0.243]], "rho_g_cm3": 5.01, "space_group": "No. 147"}

<x>
{"formula": "SrRe2O8", "functional": "PBE-GGA", "state": "optimized geometry", "lattice_angstrom": [[6.139, 0.000, 0.000], [0.000, 9.784, 0.000], [-4.759, 0.000, 12.387]], "species": ["Sr", "Sr", "Sr", "Sr", "Re", "Re", "Re", "Re", "Re", "Re", "Re", "Re", "O", "O", "O", "O", "O", "O", "O", "O", "O", "O", "O", "O", "O", "O", "O", "O", "O", "O", "O", "O", "O", "O", "O", "O", "O", "O", "O", "O", "O", "O", "O", "O"], "fractional_positions": [[0.161, 0.247, 0.364], [0.161, 0.253, 0.864], [0.839, 0.747, 0.136], [0.839, 0.753, 0.636], [0.171, 0.654, 0.423], [0.171, 0.846, 0.923], [0.390, 0.028, 0.659], [0.390, 0.472, 0.159], [0.610, 0.528, 0.841], [0.610, 0.972, 0.341], [0.829, 0.154, 0.077], [0.829, 0.346, 0.577], [0.020, 0.168, 0.007], [0.020, 0.332, 0.507], [0.120, 0.501, 0.351], [0.120, 0.999, 0.851], [0.122, 0.710, 0.830], [0.122, 0.790, 0.330], [0.176, 0.591, 0.155], [0.176, 0.909, 0.655], [0.329, 0.090, 0.527], [0.329, 0.410, 0.027], [0.340, 0.056, 0.296], [0.340, 0.444, 0.796], [0.398, 0.162, 0.747], [0.398, 0.338, 0.247], [0.460, 0.659, 0.512], [0.460, 0.841, 0.012], [0.540, 0.159, 0.988], [0.540, 0.341, 0.488], [0.602, 0.662, 0.753], [0.602, 0.838, 0.253], [0.660, 0.556, 0.204], [0.660, 0.944, 0.704], [0.671, 0.590, 0.973], [0.671, 0.910, 0.473], [0.824, 0.091, 0.345], [0.824, 0.409, 0.845], [0.878, 0.210, 0.670], [0.878, 0.290, 0.170], [0.880, 0.001, 0.149], [0.880, 0.499, 0.649], [0.980, 0.668, 0.493], [0.980, 0.832, 0.993]], "rho_g_cm3": 5.25, "space_group": "No. 14"}

Least stable structure: <w>

<w>
{"formula": "Re2Te2O5", "functional": "PBE-GGA", "state": "optimized geometry", "lattice_angstrom": [[3.718, 0.000, 0.000], [0.000, 3.718, 0.000], [0.000, 0.000, 10.401]], "species": ["Re", "Re", "Te", "Te", "O", "O", "O", "O", "O"], "fractional_positions": [[0.000, 0.000, 0.243], [0.000, 0.000, 0.757], [0.500, 0.500, 0.000], [0.500, 0.500, 0.500], [0.000, 0.000, 0.000], [0.000, 0.500, 0.244], [0.000, 0.500, 0.756], [0.500, 0.000, 0.244], [0.500, 0.000, 0.756]], "rho_g_cm3": 8.17, "space_group": "No. 123"}

<x>
{"formula": "Re2Te2O5", "functional": "PBE-GGA", "state": "optimized geometry", "lattice_angstrom": [[3.405, 0.000, 0.000], [0.000, 3.405, 0.000], [0.000, 0.000, 8.976]], "species": ["Re", "Re", "Te", "Te", "O", "O", "O", "O", "O"], "fractional_positions": [[0.000, 0.000, 0.000], [0.000, 0.000, 0.500], [0.500, 0.500, 0.182], [0.500, 0.500, 0.818], [0.000, 0.500, 0.348], [0.000, 0.500, 0.652], [0.500, 0.000, 0.348], [0.500, 0.000, 0.652], [0.500, 0.500, 0.500]], "rho_g_cm3": 11.29, "space_group": "No. 123"}

Least stable structure: <x>